Density functional theory data (GGA-PBE) for a relaxed structure of Nd2TlAs.

Values from the calculation:
ρ: 7.67 Mg/m³
formation energy from the elements: -0.846 eV per atom
M_tot: 0.00 μB/f.u.
N(E_F): 3.11 states/eV/f.u.

abc: 8.6956 8.6956 8.6956
angles: 27.41 27.41 27.41
Closest atoms and distances in Å follow each position.
Fractional positions:
Nd1 0.0000 0.0000 0.0000  3 As 2.93
Nd2 0.1950 0.1950 0.1950  3 As 2.96
Tl1 0.4310 0.4310 0.4310  6 Nd 3.41
As1 0.5987 0.5987 0.5987  6 Nd 2.93-2.96